No. 1
VASP calculation (PBE) on an optimized crystal structure of CdTeMo.

Geometry as extended XYZ:
```
12
Lattice="3.419 0.000 0.000 0.000 5.298 0.000 0.000 0.000 15.403" Properties=species:S:1:pos:R:3 pbc="T T T"
Cd 0.000 0.000 0.000
Cd 0.000 2.649 7.701
Cd 1.710 0.000 7.701
Cd 1.710 2.649 0.000
Te 0.000 0.000 11.062
Te 0.000 2.649 3.360
Te 1.710 0.000 3.360
Te 1.710 2.649 11.062
Mo 0.000 0.000 5.417
Mo 0.000 2.649 13.118
Mo 1.710 0.000 13.118
Mo 1.710 2.649 5.417
```

Output
Space group   No. 42
N(E_F)   9.48 states/eV per cell
Raw formation energy   534.7 meV per atom

No. 2
VASP calculation (PBE) on an optimized crystal structure of Na3LiB.

Geometry as extended XYZ:
```
5
Lattice="5.204 0.000 0.000 0.000 5.204 0.000 0.000 0.000 5.204" Properties=species:S:1:pos:R:3 pbc="T T T"
Na 0.000 0.000 2.602
Na 0.000 2.602 0.000
Na 2.602 0.000 0.000
Li 2.602 2.602 2.602
B 0.000 0.000 0.000
```

Output
Space group   No. 221
N(E_F)   1.86 states/eV per cell

No. 3
VASP calculation (PBE) on an optimized crystal structure of GdSc3C.

Geometry as extended XYZ:
```
5
Lattice="4.720 0.000 0.000 0.000 4.720 0.000 0.000 0.000 4.720" Properties=species:S:1:pos:R:3 pbc="T T T"
Gd 0.000 0.000 0.000
Sc 0.000 2.360 2.360
Sc 2.360 0.000 2.360
Sc 2.360 2.360 0.000
C 2.360 2.360 2.360
```

Output
Space group   No. 221
N(E_F)   7.24 states/eV per cell

No. 4
VASP calculation (PBE) on an optimized crystal structure of AcNi4Rh.

Geometry as extended XYZ:
```
6
Lattice="0.000 3.559 3.559 3.559 0.000 3.559 3.559 3.559 0.000" Properties=species:S:1:pos:R:3 pbc="T T T"
Ac 0.000 0.000 0.000
Ni 2.683 2.683 2.683
Ni 4.436 4.436 2.683
Ni 4.436 2.683 4.436
Ni 2.683 4.436 4.436
Rh 5.339 5.339 5.339
```

Output
Space group   No. 216
N(E_F)   9.38 states/eV per cell

So what do the calculations give for magnetization? Going down the list: 0.55, 1.01, 8.87, 1.12 μB per formula unit.
So what do the calculations give for calculated total energy? Going down the list: -4.428, -1.809, -8.549, -5.800 eV/atom.